## BaLiSCl2 (PBE)

Data for a geometry-optimized BaLiSCl2 structure.

The structure in POSCAR format:
```
BaLiSCl2
1.0
-3.150 3.627 -0.727
-3.079 -3.100 -2.124
-2.117 -0.946 4.449
Cl Li S Ba
2 1 1 1
Cartesian
-1.540 -1.550 -1.062
-1.575 1.813 -0.364
0.000 0.000 0.000
-1.058 -0.473 2.225
-4.173 -0.210 0.799
```

Properties
E_form (uncorrected) (eV per atom): -1.586
Crystal system: tetragonal
D(E_F) (states/eV/atom): 0.6603
ΔE to the lowest computed polymorph (kJ per mole of atoms): 0.0
Space group: P4/mmm, No. 123

---

## BaLiSCl2 (PBE)

Data for a geometry-optimized BaLiSCl2 structure.

The structure in POSCAR format:
```
BaLiSCl2
1.0
5.993 0.000 0.000
0.000 5.993 0.000
0.000 0.000 6.079
S Li Cl Ba
1 1 2 1
Cartesian
0.000 0.000 3.039
2.996 2.996 3.039
0.000 2.996 0.000
2.996 0.000 0.000
0.000 0.000 0.000
```

Properties
E_form (uncorrected) (eV per atom): -1.127
Crystal system: tetragonal
D(E_F) (states/eV/atom): 1.5690
ΔE to the lowest computed polymorph (kJ per mole of atoms): 44.3
Space group: P4/mmm, No. 123

---

## BaLiSbCl6 (PBE)

Data for a geometry-optimized BaLiSbCl6 structure.

The structure in POSCAR format:
```
BaLiSbCl6
1.0
-4.971 0.744 -4.660
-5.816 -3.579 0.590
-2.686 4.968 3.658
Cl Ba Li Sb
6 1 1 1
Cartesian
-6.285 -0.633 -0.334
-9.556 0.313 1.512
-7.259 2.747 -0.105
-7.829 0.792 -3.400
-10.588 2.052 -1.606
-9.688 -1.707 -1.373
-7.657 5.712 -1.002
-8.534 0.594 -0.884
-4.939 1.539 0.472
```

Properties
E_form (uncorrected) (eV per atom): -1.613
Crystal system: trigonal
D(E_F) (states/eV/atom): 0.0000
Space group: P312, No. 149

---

## BaLi2SbCl8 (PBE)

Data for a geometry-optimized BaLi2SbCl8 structure.

The structure in POSCAR format:
```
BaLi2SbCl8
1.0
-0.512 6.079 1.819
-5.094 -3.093 -2.237
-2.044 -2.669 8.346
Cl Sb Li Ba
8 1 2 1
Cartesian
-5.590 -2.677 7.375
-4.250 -2.870 1.174
-5.963 0.233 1.746
-2.060 2.994 0.553
-5.183 0.372 5.417
-2.467 -0.055 2.510
-3.400 3.187 6.754
-1.687 0.084 6.181
-1.022 -1.334 4.173
-5.075 -2.006 5.275
-2.575 2.323 2.653
0.000 0.000 0.000
```

Properties
E_form (uncorrected) (eV per atom): -1.443
Crystal system: trigonal
D(E_F) (states/eV/atom): 0.5035
Space group: P-3, No. 147

---

## BaLiScCl6 (PBE)

Data for a geometry-optimized BaLiScCl6 structure.

The structure in POSCAR format:
```
BaLiScCl6
1.0
6.676 0.000 0.000
-3.338 5.781 0.000
0.000 0.000 13.297
Cl Sc Ba Li
12 2 2 2
Cartesian
-0.857 5.723 1.884
4.528 3.604 11.413
1.190 2.178 4.764
2.148 3.604 8.533
-1.190 2.178 1.884
5.385 2.119 8.533
2.047 3.662 1.884
2.481 0.058 8.533
1.291 2.119 11.413
-2.047 3.662 4.764
0.857 5.723 4.764
4.195 0.058 11.413
3.338 1.927 9.973
0.000 3.854 3.324
0.000 0.000 0.000
0.000 0.000 6.648
0.000 3.854 9.973
3.338 1.927 3.324
```

Properties
E_form (uncorrected) (eV per atom): -2.179
Crystal system: trigonal
D(E_F) (states/eV/atom): 0.0000
Space group: P-31c, No. 163

---

## BaLi2SiCl (PBE)

Data for a geometry-optimized BaLi2SiCl structure.

The structure in POSCAR format:
```
BaLi2SiCl
1.0
4.909 0.000 0.000
0.000 6.198 0.000
0.000 0.000 4.909
Li Ba Si Cl
2 1 1 1
Cartesian
0.000 0.000 2.454
2.454 0.000 0.000
0.000 3.099 0.000
0.000 0.000 0.000
2.454 3.099 2.454
```

Properties
E_form (uncorrected) (eV per atom): -0.612
Crystal system: tetragonal
D(E_F) (states/eV/atom): 0.4305
Space group: P4/mmm, No. 123

---

## BaLiSmCl6 (PBE)

Data for a geometry-optimized BaLiSmCl6 structure.

The structure in POSCAR format:
```
BaLiSmCl6
1.0
-5.129 -0.517 4.592
-0.993 -2.021 -6.527
4.128 -12.409 3.214
Cl Ba Li Sm
12 2 2 2
Cartesian
0.813 -5.797 -2.975
1.314 -11.618 2.120
0.264 -11.052 5.655
-2.150 -12.490 3.200
0.733 -8.120 3.681
-2.728 -6.826 -2.401
-2.807 -9.149 4.255
-0.712 -5.428 0.410
-1.283 -9.519 0.870
-2.259 -3.895 -4.375
0.155 -2.456 -1.920
-3.309 -3.328 -0.839
0.000 0.000 0.000
2.064 -6.204 1.607
-1.340 -4.622 -2.017
-0.655 -10.325 3.297
0.724 -10.826 -0.409
-2.719 -4.120 1.690
```

Properties
E_form (uncorrected) (eV per atom): -2.246
Crystal system: trigonal
D(E_F) (states/eV/atom): 0.0000
Space group: P-31c, No. 163

---

## BaLi2SnCl8 (PBE)

Data for a geometry-optimized BaLi2SnCl8 structure.

The structure in POSCAR format:
```
BaLi2SnCl8
1.0
6.267 0.480 0.005
0.548 6.254 0.005
0.026 0.027 8.917
Li Cl Ba Sn
2 8 1 1
Cartesian
3.420 3.381 2.803
3.422 3.380 6.124
5.100 5.109 0.015
1.756 4.971 1.857
2.222 2.162 4.464
5.086 1.790 7.070
1.742 1.652 8.912
5.063 1.767 1.857
1.779 4.994 7.070
4.620 4.598 4.463
0.013 0.013 4.459
0.000 0.000 0.000
```

Properties
E_form (uncorrected) (eV per atom): -1.559
Crystal system: triclinic
D(E_F) (states/eV/atom): 0.0000
Space group: P-1, No. 2

---

## BaLiTbCl6 (PBE)

Data for a geometry-optimized BaLiTbCl6 structure.

The structure in POSCAR format:
```
BaLiTbCl6
1.0
6.848 0.000 0.000
-3.424 5.931 0.000
0.000 0.000 13.446
Cl Tb Ba Li
12 2 2 2
Cartesian
2.149 3.775 1.862
5.573 2.156 8.585
-2.149 3.775 4.861
1.230 2.182 4.861
-1.230 2.182 1.862
2.194 3.748 8.585
1.275 2.156 11.584
0.920 5.904 4.861
-0.920 5.904 1.862
4.344 0.026 11.584
4.654 3.748 11.584
2.504 0.026 8.585
0.000 3.954 10.085
3.424 1.977 3.362
0.000 0.000 6.723
0.000 0.000 0.000
3.424 1.977 10.085
0.000 3.954 3.362
```

Properties
E_form (uncorrected) (eV per atom): -2.258
Crystal system: trigonal
D(E_F) (states/eV/atom): 0.0000
Space group: P-31c, No. 163

---

## BaLiTeCl2 (PBE)

Data for a geometry-optimized BaLiTeCl2 structure.

The structure in POSCAR format:
```
BaLiTeCl2
1.0
-0.303 -5.451 -2.251
5.504 1.382 -4.085
3.629 -1.949 4.231
Cl Te Ba Li
2 1 1 1
Cartesian
-0.151 -2.725 -1.126
1.815 -0.975 2.115
2.752 0.691 -2.043
0.000 0.000 0.000
4.415 -3.009 -1.053
```

Properties
E_form (uncorrected) (eV per atom): -1.146
Crystal system: tetragonal
D(E_F) (states/eV/atom): 1.4631
Space group: P4/mmm, No. 123

---

Q: Which formula does entry 5 have?
A: BaLiScCl6